Entry 1:
DFT (PBE) results for CdOsBr2 after structural relaxation.

## Properties
**ΔE_f (raw)**: 1.10 eV per atom
**N(E_F)**: 0.882 states/eV/atom
**Space group**: P4/mmm (123)
**E**: -11.097 eV per cell

Geometry as extended XYZ:
```
4
Lattice="4.933 0.000 0.000 0.000 4.933 0.000 0.000 0.000 3.278" Properties=species:S:1:pos:R:3 pbc="T T T"
Br 2.466 2.466 0.000
Os 0.000 2.466 1.639
Cd 2.466 0.000 1.639
Br 0.000 0.000 0.000
```

Entry 2:
DFT (PBE) results for SiAsPt after structural relaxation.

## Properties
**ΔE_f (raw)**: -0.03 eV per atom
**N(E_F)**: 0.259 states/eV/atom
**Space group**: F-43m (216)
**E**: -16.198 eV per cell

Geometry as extended XYZ:
```
3
Lattice="-2.483 -2.805 1.938 -2.312 -2.696 -2.275 0.996 -4.097 -0.065" Properties=species:S:1:pos:R:3 pbc="T T T"
Pt -1.899 -4.799 -0.201
As 0.000 0.000 0.000
Si -2.849 -7.198 -0.302
```

Entry 3:
DFT (PBE) results for HfTi2Nb after structural relaxation.

## Properties
**N(E_F)**: 2.142 states/eV/atom
**Space group**: Fm-3m (225)
**E**: -35.417 eV per cell
**ΔE_f**: 99 meV/atom

Geometry as extended XYZ:
```
4
Lattice="2.242 -4.141 0.023 1.498 -1.844 4.066 -2.116 -3.813 1.777" Properties=species:S:1:pos:R:3 pbc="T T T"
Nb 0.000 0.000 0.000
Hf 0.812 -4.900 2.933
Ti 1.218 -7.349 4.399
Ti 0.406 -2.450 1.466
```

Entry 4:
DFT (PBE) results for MgCdRe after structural relaxation.

## Properties
**N(E_F)**: 0.542 states/eV/atom
**Space group**: F-43m (216)
**E**: -11.504 eV per cell
**ΔE_f**: 1151 meV/atom

Geometry as extended XYZ:
```
3
Lattice="4.583 0.000 0.000 2.292 3.969 0.000 2.292 1.323 3.742" Properties=species:S:1:pos:R:3 pbc="T T T"
Mg 4.583 2.646 1.871
Re 2.292 1.323 0.936
Cd 0.000 0.000 0.000
```

| no. | offset from the most stable computed form (meV per atom) |
| --- | --- |
| 1 | 866.4 |
| 2 | 326.7 |
| 3 | 53.9 |
| 4 | 755.0 |